1.
{
  "formula": "Hf4Cu5Ge6",
  "functional": "PBE-GGA",
  "state": "optimized geometry",
  "delta_e_f_ev_per_atom": -0.3527,
  "crystal_system": "orthorhombic",
  "cell": [[-2.8694, 2.5446, 1.0242], [-4.2490, -5.6225, -5.6279], [-3.5135, -8.4123, 11.0570]],
  "species": ["Hf", "Hf", "Cu", "Ge", "Ge", "Cu", "Ge", "Hf", "Cu", "Cu", "Hf", "Ge", "Hf", "Ge", "Hf", "Ge", "Cu", "Ge", "Cu", "Ge", "Cu", "Hf", "Ge", "Ge", "Cu", "Ge", "Hf", "Ge", "Cu", "Cu"],
  "fractional_positions": [[0.1777, 0.3553, 0.9405], [0.8318, 0.6637, 0.8027], [0.4341, 0.8683, 0.6887], [0.5651, 0.1302, 0.6296], [0.4349, 0.8698, 0.1296], [0.6973, 0.3946, 0.1205], [0.2234, 0.4468, 0.4838], [0.9793, 0.9587, 0.9986], [0.3027, 0.6054, 0.6205], [0.6527, 0.3053, 0.7766], [0.1682, 0.3363, 0.3027], [0.7766, 0.5532, 0.9838], [0.8223, 0.6447, 0.4405], [0.1114, 0.2227, 0.1140], [0.0322, 0.0644, 0.7640], [0.8886, 0.7773, 0.6140], [0.3520, 0.7040, 0.9823], [0.5621, 0.1243, 0.3540], [0.6480, 0.2960, 0.4823], [0.5711, 0.1421, 0.9154], [0.3473, 0.6947, 0.2766], [0.0207, 0.0413, 0.4986], [0.7719, 0.5439, 0.2610], [0.4289, 0.8579, 0.4154], [0.1487, 0.2975, 0.6239], [0.2281, 0.4561, 0.7610], [0.9678, 0.9356, 0.2640], [0.4379, 0.8757, 0.8540], [0.8513, 0.7025, 0.1239], [0.5659, 0.1317, 0.1887]]
}

=====

2.
{
  "formula": "Hf3Cu2Ge3",
  "functional": "PBE-GGA",
  "state": "optimized geometry",
  "delta_e_f_ev_per_atom": -0.5189,
  "crystal_system": "orthorhombic",
  "cell": [[3.8835, 0.0000, 0.0000], [-1.9417, 5.1012, 0.0000], [0.0000, 0.0000, 13.4887]],
  "species": ["Ge", "Ge", "Ge", "Hf", "Cu", "Cu", "Hf", "Hf", "Hf", "Cu", "Cu", "Ge", "Hf", "Hf", "Ge", "Ge"],
  "fractional_positions": [[0.6428, 0.2856, 0.7500], [0.6164, 0.2328, 0.0403], [0.3572, 0.7144, 0.2500], [0.9368, 0.8736, 0.3831], [0.7752, 0.5504, 0.8982], [0.2248, 0.4496, 0.3982], [0.6364, 0.2727, 0.2500], [0.9368, 0.8736, 0.1169], [0.3636, 0.7273, 0.7500], [0.2248, 0.4496, 0.1018], [0.7752, 0.5504, 0.6018], [0.3836, 0.7672, 0.9597], [0.0632, 0.1264, 0.6169], [0.0632, 0.1264, 0.8831], [0.6164, 0.2328, 0.4597], [0.3836, 0.7672, 0.5403]]
}

=====

Which formula does entry 1 have? Hf4Cu5Ge6